# Ho4CI4Br

Ho4CI4Br after structural relaxation (PBE, the Open Quantum Materials Database).

The structure in POSCAR format:
```
Ho4CI4Br
1.0
9.495 -1.952 0.000
9.495 1.952 0.000
-1.764 0.000 8.131
Ho C I Br
4 1 4 1
direct
0.001 0.001 0.304
0.371 0.371 0.435
0.629 0.629 0.565
0.999 0.999 0.696
0.500 0.500 0.500
0.162 0.162 0.848
0.167 0.167 0.316
0.833 0.833 0.684
0.838 0.838 0.152
0.500 0.500 0.000
```

As for the volume: 301.5 Å³/cell. The raw total energy is -4.6774 eV/atom. Its space-group type is C2/m.